# 1
# Cs3Pr3TiTe8

A geometry-optimized Cs3Pr3TiTe8 structure (PBE-GGA, the Alexandria database).

Summary:
Total magnetic moment in μB per cell: 0.09
Formation energy from raw total energies in eV per atom: -1.216
Symmetry: R-3m (166)
Final energy in Ry per atom: -0.33402

Cell: 9.052 9.051 10.561 Å, 115.39 90.00 120.01°
Fractional positions:
Te1 0.733 0.466 0.699
Te2 0.790 0.029 0.319
Te3 0.239 0.029 0.319
Te4 0.210 0.421 0.681
Te5 0.761 0.971 0.681
Te6 0.790 0.579 0.319
Te7 0.267 0.534 0.301
Te8 0.210 0.971 0.681
Pr1 0.000 0.500 0.500
Pr2 0.500 0.000 0.500
Pr3 0.500 0.500 0.500
Cs1 0.000 0.000 0.000
Cs2 0.500 0.500 0.000
Cs3 0.000 0.500 0.000
Ti1 0.000 0.000 0.500

***

# 2
# CsPrTlTe3

A geometry-optimized CsPrTlTe3 structure (PBE-GGA, the Alexandria database).

Summary:
Total magnetic moment in μB per cell: 0.00
Formation energy from raw total energies in eV per atom: -0.946
Symmetry: P2_1/m (11)
Final energy in Ry per atom: -0.28298

Cell: 4.778 10.171 11.585 Å, 107.08 90.00 90.00°
Fractional positions:
Te1 0.250 0.535 0.843
Te2 0.750 0.465 0.157
Te3 0.250 0.122 0.888
Te4 0.750 0.240 0.572
Te5 0.250 0.760 0.428
Te6 0.750 0.878 0.112
Tl1 0.750 0.928 0.382
Tl2 0.250 0.072 0.618
Pr1 0.250 0.666 0.125
Pr2 0.750 0.334 0.875
Cs1 0.250 0.211 0.246
Cs2 0.750 0.789 0.754

***

# 3
# Cs3PrTm2Te6

A geometry-optimized Cs3PrTm2Te6 structure (PBE-GGA, the Alexandria database).

Summary:
Total magnetic moment in μB per cell: 0.00
Formation energy from raw total energies in eV per atom: -1.374
Symmetry: C2/m (12)
Final energy in Ry per atom: -0.31620

Cell: 7.930 7.930 9.308 Å, 98.17 98.17 120.00°
Fractional positions:
Cs1 0.837 0.163 0.500
Cs2 0.500 0.500 0.500
Cs3 0.163 0.837 0.500
Te1 0.591 0.936 0.809
Te2 0.409 0.064 0.191
Te3 0.064 0.409 0.191
Te4 0.718 0.718 0.189
Te5 0.282 0.282 0.811
Te6 0.936 0.591 0.809
Pr1 0.000 0.000 0.000
Tm1 0.333 0.667 0.000
Tm2 0.667 0.333 0.000

***

# 4
# Cs3Pr3TmTe8

A geometry-optimized Cs3Pr3TmTe8 structure (PBE-GGA, the Alexandria database).

Summary:
Total magnetic moment in μB per cell: 0.00
Formation energy from raw total energies in eV per atom: -1.326
Symmetry: R-3m (166)
Final energy in Ry per atom: -0.32532

Cell: 9.124 9.127 10.639 Å, 115.43 90.00 119.98°
Fractional positions:
Te1 0.224 0.449 0.691
Te2 0.733 0.465 0.698
Te3 0.776 0.034 0.309
Te4 0.224 0.966 0.691
Te5 0.258 0.034 0.309
Te6 0.742 0.966 0.691
Te7 0.267 0.535 0.302
Te8 0.776 0.551 0.309
Cs1 0.000 0.000 0.000
Cs2 0.000 0.500 0.000
Cs3 0.500 0.500 0.000
Pr1 0.500 0.000 0.500
Pr2 0.500 0.500 0.500
Pr3 0.000 0.500 0.500
Tm1 0.000 0.000 0.500

***

# 5
# Cs2PrUTe6

A geometry-optimized Cs2PrUTe6 structure (PBE-GGA, the Alexandria database).

Summary:
Total magnetic moment in μB per cell: 0.00
Formation energy from raw total energies in eV per atom: -0.889
Symmetry: Pmmn (59)
Final energy in Ry per atom: -0.33453

Cell: 8.522 8.524 12.059 Å, 90.00 90.00 90.00°
Fractional positions:
Te1 0.240 0.991 0.000
Te2 0.740 0.009 0.500
Te3 0.260 0.009 0.500
Te4 0.000 0.750 0.240
Te5 0.760 0.991 0.000
Te6 0.260 0.490 0.500
Te7 0.740 0.490 0.500
Te8 0.760 0.510 0.000
Te9 0.500 0.250 0.260
Te10 0.500 0.250 0.740
Te11 0.240 0.510 0.000
Te12 0.000 0.750 0.760
U1 0.500 0.249 0.500
U2 0.000 0.751 0.000
Cs1 0.000 0.250 0.250
Cs2 0.000 0.250 0.750
Cs3 0.500 0.750 0.750
Cs4 0.500 0.750 0.250
Pr1 0.000 0.749 0.500
Pr2 0.500 0.251 0.000

***

# 6
# Cs3PrU3Te8

A geometry-optimized Cs3PrU3Te8 structure (PBE-GGA, the Alexandria database).

Summary:
Total magnetic moment in μB per cell: 8.00
Formation energy from raw total energies in eV per atom: -0.967
Symmetry: R-3m (166)
Final energy in Ry per atom: -0.39615

Cell: 9.057 9.058 10.499 Å, 115.56 89.99 120.01°
Fractional positions:
Te1 0.764 0.043 0.307
Te2 0.730 0.461 0.691
Te3 0.236 0.472 0.693
Te4 0.236 0.957 0.693
Te5 0.270 0.539 0.309
Te6 0.721 0.957 0.693
Te7 0.279 0.043 0.307
Te8 0.764 0.528 0.307
Cs1 0.000 0.500 0.000
Cs2 0.500 0.500 0.000
Cs3 0.000 0.000 0.000
U1 0.500 0.000 0.500
U2 0.000 0.500 0.500
U3 0.500 0.500 0.500
Pr1 0.000 0.000 0.500

***

# 7
# Cs3Pr2UTe6

A geometry-optimized Cs3Pr2UTe6 structure (PBE-GGA, the Alexandria database).

Summary:
Total magnetic moment in μB per cell: 2.99
Formation energy from raw total energies in eV per atom: -1.219
Symmetry: C2/m (12)
Final energy in Ry per atom: -0.34839

Cell: 8.101 8.101 9.360 Å, 98.30 98.30 119.99°
Fractional positions:
Cs1 0.831 0.169 0.500
Cs2 0.500 0.500 0.500
Cs3 0.169 0.831 0.500
Pr1 0.666 0.334 0.000
Pr2 0.334 0.666 0.000
Te1 0.607 0.935 0.805
Te2 0.262 0.262 0.804
Te3 0.738 0.738 0.196
Te4 0.935 0.607 0.805
Te5 0.065 0.393 0.195
Te6 0.393 0.065 0.195
U1 0.000 0.000 0.000

***

# 8
# Cs3PrU2Te6

A geometry-optimized Cs3PrU2Te6 structure (PBE-GGA, the Alexandria database).

Summary:
Total magnetic moment in μB per cell: 6.01
Formation energy from raw total energies in eV per atom: -1.025
Symmetry: C2/m (12)
Final energy in Ry per atom: -0.37404

Cell: 7.991 7.991 9.367 Å, 98.18 98.18 120.00°
Fractional positions:
Te1 0.595 0.935 0.806
Te2 0.723 0.723 0.193
Te3 0.405 0.065 0.194
Te4 0.935 0.595 0.806
Te5 0.277 0.277 0.807
Te6 0.065 0.405 0.194
Cs1 0.164 0.836 0.500
Cs2 0.836 0.164 0.500
Cs3 0.500 0.500 0.500
Pr1 0.000 0.000 0.000
U1 0.333 0.667 0.000
U2 0.667 0.333 0.000

***

# 9
# Cs3Pr3YTe8

A geometry-optimized Cs3Pr3YTe8 structure (PBE-GGA, the Alexandria database).

Summary:
Total magnetic moment in μB per cell: 0.00
Formation energy from raw total energies in eV per atom: -1.337
Symmetry: R-3m (166)
Final energy in Ry per atom: -0.33593

Cell: 9.145 9.146 10.635 Å, 115.49 90.00 119.98°
Fractional positions:
Y1 0.000 0.000 0.500
Te1 0.773 0.547 0.308
Te2 0.227 0.453 0.692
Te3 0.773 0.034 0.308
Te4 0.261 0.034 0.308
Te5 0.267 0.535 0.302
Te6 0.227 0.966 0.692
Te7 0.733 0.465 0.698
Te8 0.739 0.966 0.692
Pr1 0.000 0.500 0.500
Pr2 0.500 0.000 0.500
Pr3 0.500 0.500 0.500
Cs1 0.500 0.500 0.000
Cs2 0.000 0.000 0.000
Cs3 0.000 0.500 0.000

***

# 10
# Cs3PrY2Te6

A geometry-optimized Cs3PrY2Te6 structure (PBE-GGA, the Alexandria database).

Summary:
Total magnetic moment in μB per cell: 0.00
Formation energy from raw total energies in eV per atom: -1.406
Symmetry: C2/m (12)
Final energy in Ry per atom: -0.34291

Cell: 7.981 7.981 9.319 Å, 98.21 98.21 120.00°
Fractional positions:
Cs1 0.164 0.836 0.500
Cs2 0.836 0.164 0.500
Cs3 0.500 0.500 0.500
Te1 0.278 0.278 0.809
Te2 0.936 0.594 0.808
Te3 0.406 0.064 0.192
Te4 0.594 0.936 0.808
Te5 0.722 0.722 0.191
Te6 0.064 0.406 0.192
Pr1 0.000 0.000 0.000
Y1 0.333 0.667 0.000
Y2 0.667 0.333 0.000